(1)
Pm2PuZrAs4 after structural relaxation. Source: Alexandria via LeMat-Bulk, functional PBE.

## Properties
Crystal system: monoclinic
Total DFT energy (no corrections), eV/atom: -7.674
ΔE_f, kcal/mol of atoms: -30.012
D(E_F), states/eV/atom: 1.579

a = 7.1033 Å, b = 4.1086 Å, c = 7.1252 Å
α = 90.00°, β = 109.22°, γ = 90.00°
Last column: nearest neighbours and their distance in Å.
Space group P2/m (No. 10)
Asymmetric unit:
Pm (0.0000, 0.0000, 0.0000) (multiplicity 1)  6 As 3.00
Pm (0.5000, 0.5000, 0.0000) (multiplicity 1)  6 As 2.93-2.95
Pu (0.0000, 0.5000, 0.5000) (multiplicity 1)  6 As 2.87-2.88
Zr (0.5000, 0.0000, 0.5000) (multiplicity 1)  6 As 2.80-2.82
As (0.2525, 0.0000, 0.7356) (multiplicity 2)  1 Zr 2.80, 2 Pu 2.88, 3 Pm 2.95-3.00
As (0.2625, 0.5000, 0.2680) (multiplicity 2)  2 Zr 2.82, 1 Pu 2.87, 3 Pm 2.93-3.00


(2)
TmPa3 after structural relaxation. Source: Alexandria via LeMat-Bulk, functional PBE.

## Properties
Crystal system: tetragonal
Total DFT energy (no corrections), eV/atom: -8.111
ΔE_f, kcal/mol of atoms: 2.969
D(E_F), states/eV/atom: 1.792
E above lowest polymorph, eV/atom: 0.000

a = 4.6717 Å, b = 4.6717 Å, c = 9.3924 Å
α = 90.00°, β = 90.00°, γ = 90.00°
Last column: nearest neighbours and their distance in Å.
Space group I4/mmm (No. 139)
Asymmetric unit:
Tm (0.0000, 0.0000, 0.0000) (multiplicity 2)  12 Pa 3.30-3.31
Pa (0.0000, 0.0000, 0.5000) (multiplicity 2)  4 Tm 3.30, 8 Pa 3.31
Pa (0.0000, 0.5000, 0.2500) (multiplicity 4)  8 Pa 3.30-3.31, 4 Tm 3.31


(3)
CdP2Pb after structural relaxation. Source: Alexandria via LeMat-Bulk, functional PBE.

## Properties
Crystal system: orthorhombic
Total DFT energy (no corrections), eV/atom: -3.384
ΔE_f, kcal/mol of atoms: 10.992
D(E_F), states/eV/atom: 0.560

a = 3.8232 Å, b = 4.6152 Å, c = 4.9292 Å
α = 90.00°, β = 90.00°, γ = 90.00°
Last column: nearest neighbours and their distance in Å.
Space group Pmmm (No. 47)
Asymmetric unit:
Cd (0.0000, 0.0000, 0.0000) (multiplicity 1)  8 P 3.00-3.12
P (0.5000, 0.0000, 0.5000) (multiplicity 1)  4 Pb 3.00, 4 Cd 3.12
P (0.5000, 0.5000, 0.0000) (multiplicity 1)  4 Cd 3.00, 4 Pb 3.12
Pb (0.0000, 0.5000, 0.5000) (multiplicity 1)  8 P 3.00-3.12


(4)
NdH4Pd4 after structural relaxation. Source: Alexandria via LeMat-Bulk, functional PBE.

## Properties
Crystal system: tetragonal
Total DFT energy (no corrections), eV/atom: -4.732
D(E_F), states/eV/atom: 0.099

a = 7.0930 Å, b = 7.0930 Å, c = 4.0176 Å
α = 90.00°, β = 90.00°, γ = 90.00°
Last column: nearest neighbours and their distance in Å.
Space group I4/m (No. 87)
Asymmetric unit:
Nd (0.0000, 0.0000, 0.0000) (multiplicity 2)  4 H 2.70
H (0.1608, 0.3273, 0.5000) (multiplicity 8)  4 Pd 1.86-2.07
Pd (0.1117, 0.6898, 0.5000) (multiplicity 8)  4 H 1.86-2.07


(5)
Tm3Ag2Pt after structural relaxation. Source: Alexandria via LeMat-Bulk, functional PBE.

## Properties
Crystal system: monoclinic
Total DFT energy (no corrections), eV/atom: -4.747
ΔE_f, kcal/mol of atoms: -12.787
D(E_F), states/eV/atom: 0.693
E above lowest polymorph, eV/atom: 0.122

a = 14.8958 Å, b = 5.7879 Å, c = 6.4872 Å
α = 90.00°, β = 102.59°, γ = 90.00°
Last column: nearest neighbours and their distance in Å.
Space group C2/c (No. 15)
Asymmetric unit:
Tm (0.0000, 0.1628, 0.2500) (multiplicity 4)  2 Pt 2.86-2.93, 2 Ag 3.00
Tm (0.1663, 0.4160, 0.6370) (multiplicity 8)  1 Pt 2.76, 5 Ag 2.99-3.07
Ag (0.1636, 0.0908, 0.9983) (multiplicity 8)  7 Tm 2.99-3.24, 1 Pt 2.99, 1 Ag 3.16
Pt (0.0000, 0.3437, 0.7500) (multiplicity 4)  4 Tm 2.76-2.93, 2 Ag 2.99


(6)
ZnAsIr2 after structural relaxation. Source: Alexandria via LeMat-Bulk, functional PBE.

## Properties
Crystal system: monoclinic
Total DFT energy (no corrections), eV/atom: -5.923
ΔE_f, kcal/mol of atoms: -0.257
D(E_F), states/eV/atom: 0.554
E above lowest polymorph, eV/atom: 0.003

a = 9.1700 Å, b = 2.9824 Å, c = 4.5004 Å
α = 90.00°, β = 105.68°, γ = 90.00°
Last column: nearest neighbours and their distance in Å.
Space group Cm (No. 8)
Asymmetric unit:
Zn (0.0000, 0.0000, 0.0000) (multiplicity 2)  7 Ir 2.53-2.70
As (0.2397, 0.0000, 0.6312) (multiplicity 2)  7 Ir 2.57-2.83
Ir (0.0021, 0.5000, 0.5003) (multiplicity 2)  3 As 2.57-2.63, 4 Zn 2.70
Ir (0.2405, 0.5000, 0.0960) (multiplicity 2)  3 Zn 2.53-2.60, 4 As 2.57-2.83